A geometry-optimized Zr2ScPb structure, computed with GGA-PBEsol.

ΔE_f in eV/atom: -0.018
Calculated total energy in eV per atom: -7.214
Crystal system: trigonal
Spin magnetization in μB/cell: 0.00

abc: 10.336 10.336 10.336
angles: 18.10 18.10 18.10
Atoms (fractional coordinates):
Zr1 0.250 0.250 0.250
Zr2 0.750 0.750 0.750
Sc1 0.000 0.000 0.000
Pb1 0.500 0.500 0.500

A geometry-optimized CsBi3S5 structure, computed with GGA-PBEsol.

Calculated total energy in eV per atom: -4.567
Crystal system: orthorhombic
Spin magnetization in μB/cell: 0.00

abc: 12.072 4.052 21.036
angles: 90.00 90.00 90.00
Atoms (fractional coordinates):
Cs1 0.004 0.250 0.112
Cs2 0.496 0.750 0.612
Cs3 0.504 0.250 0.388
Cs4 0.996 0.750 0.888
Bi1 0.129 0.250 0.646
Bi2 0.148 0.250 0.308
Bi3 0.163 0.750 0.475
Bi4 0.337 0.250 0.975
Bi5 0.352 0.750 0.808
Bi6 0.371 0.750 0.146
Bi7 0.629 0.250 0.854
Bi8 0.648 0.250 0.192
Bi9 0.663 0.750 0.025
Bi10 0.837 0.250 0.525
Bi11 0.852 0.750 0.692
Bi12 0.871 0.750 0.354
S1 0.010 0.250 0.419
S2 0.015 0.750 0.258
S3 0.220 0.750 0.030
S4 0.224 0.250 0.868
S5 0.248 0.250 0.191
S6 0.252 0.750 0.691
S7 0.276 0.750 0.368
S8 0.280 0.250 0.530
S9 0.485 0.250 0.758
S10 0.490 0.750 0.919
S11 0.510 0.250 0.081
S12 0.515 0.750 0.242
S13 0.720 0.750 0.470
S14 0.724 0.250 0.632
S15 0.748 0.250 0.309
S16 0.752 0.750 0.809
S17 0.776 0.750 0.132
S18 0.780 0.250 0.970
S19 0.985 0.250 0.742
S20 0.990 0.750 0.581

A geometry-optimized Si2RuPb structure, computed with GGA-PBEsol.

Calculated total energy in eV per atom: -5.843
Crystal system: cubic
Spin magnetization in μB/cell: 0.00

abc: 4.563 4.563 4.563
angles: 60.00 60.00 60.00
Atoms (fractional coordinates):
Si1 0.000 0.000 0.000
Si2 0.250 0.250 0.250
Ru1 0.750 0.750 0.750
Pb1 0.500 0.500 0.500

A geometry-optimized KLa2Tc2 structure, computed with GGA-PBEsol.

ΔE_f in eV/atom: 0.436
Calculated total energy in eV per atom: -6.436
Crystal system: tetragonal
Spin magnetization in μB/cell: 0.00

abc: 12.661 12.661 12.661
angles: 163.91 163.91 22.83
Atoms (fractional coordinates):
K1 0.000 0.000 0.000
La1 0.351 0.351 0.000
La2 0.649 0.649 0.000
Tc1 0.250 0.750 0.500
Tc2 0.750 0.250 0.500

A geometry-optimized Li3V2P3O12 structure, computed with GGA-PBEsol.

Calculated total energy in eV per atom: -7.587
Energy relative to the lowest polymorph listed for this composition in eV per atom: 0.0000
Crystal system: trigonal
Spin magnetization in μB/cell: 8.00

abc: 8.859 8.859 8.859
angles: 56.14 56.14 56.14
Atoms (fractional coordinates):
Li1 0.168 0.421 0.766
Li2 0.234 0.832 0.579
Li3 0.421 0.766 0.168
Li4 0.579 0.234 0.832
Li5 0.766 0.168 0.421
Li6 0.832 0.579 0.234
V1 0.150 0.150 0.150
V2 0.355 0.355 0.355
V3 0.645 0.645 0.645
V4 0.850 0.850 0.850
P1 0.038 0.749 0.462
P2 0.251 0.538 0.962
P3 0.462 0.038 0.749
P4 0.538 0.962 0.251
P5 0.749 0.462 0.038
P6 0.962 0.251 0.538
O1 0.003 0.966 0.333
O2 0.034 0.667 0.997
O3 0.038 0.710 0.659
O4 0.114 0.311 0.498
O5 0.246 0.622 0.366
O6 0.290 0.341 0.962
O7 0.311 0.498 0.114
O8 0.333 0.003 0.966
O9 0.341 0.962 0.290
O10 0.366 0.246 0.622
O11 0.378 0.634 0.754
O12 0.498 0.114 0.311
O13 0.502 0.886 0.689
O14 0.622 0.366 0.246
O15 0.634 0.754 0.378
O16 0.659 0.038 0.710
O17 0.667 0.997 0.034
O18 0.689 0.502 0.886
O19 0.710 0.659 0.038
O20 0.754 0.378 0.634
O21 0.886 0.689 0.502
O22 0.962 0.290 0.341
O23 0.966 0.333 0.003
O24 0.997 0.034 0.667

A geometry-optimized La2YAg structure, computed with GGA-PBEsol.

ΔE_f in eV/atom: -0.122
Calculated total energy in eV per atom: -5.328
Energy relative to the lowest polymorph listed for this composition in eV per atom: 0.0000
Crystal system: tetragonal
Spin magnetization in μB/cell: 0.00

abc: 3.645 3.645 8.633
angles: 90.00 90.00 90.00
Atoms (fractional coordinates):
La1 0.000 0.000 0.000
La2 0.500 0.500 0.291
Y1 0.000 0.000 0.578
Ag1 0.500 0.500 0.768

A geometry-optimized In2As2Cl2O5 structure, computed with GGA-PBEsol.

Calculated total energy in eV per atom: -5.545
Crystal system: triclinic
Spin magnetization in μB/cell: 0.00

abc: 6.720 7.501 9.034
angles: 109.21 104.23 102.22
Atoms (fractional coordinates):
In1 0.097 0.303 0.475
In2 0.354 0.771 0.339
In3 0.646 0.229 0.661
In4 0.903 0.697 0.525
As1 0.203 0.236 0.801
As2 0.393 0.850 0.756
As3 0.607 0.150 0.244
As4 0.797 0.764 0.199
Cl1 0.263 0.385 0.277
Cl2 0.274 0.707 0.043
Cl3 0.726 0.293 0.957
Cl4 0.737 0.615 0.723
O1 0.044 0.785 0.349
O2 0.160 0.962 0.732
O3 0.189 0.621 0.614
O4 0.337 0.273 0.657
O5 0.495 0.911 0.607
O6 0.505 0.089 0.393
O7 0.663 0.727 0.343
O8 0.811 0.379 0.386
O9 0.840 0.038 0.268
O10 0.956 0.215 0.651

A geometry-optimized ZrMo2Se structure, computed with GGA-PBEsol.

Calculated total energy in eV per atom: -9.212
Crystal system: orthorhombic
Spin magnetization in μB/cell: 0.00

abc: 3.379 4.063 4.893
angles: 90.00 90.00 90.00
Atoms (fractional coordinates):
Zr1 0.000 0.000 0.000
Mo1 0.000 0.500 0.500
Mo2 0.500 0.000 0.500
Se1 0.500 0.500 0.000